No. 1
VASP calculation (PBE) on Rb2HfZnW after structural relaxation.

Lattice parameters (Å, degrees): 7.167 4.901 7.167 90.00 90.00 90.00
Site moments in Bohr magnetons follow the coordinates.
Sites, in units of the cell vectors:
Hf: 0.000 0.000 0.000  0.16
Zn: 0.500 0.500 0.500  0.01
Rb: 0.500 0.000 0.000  0.01
Rb: 0.000 0.000 0.500  0.01
W: 0.000 0.500 0.000  1.29

## Properties
Calculated density (g/cm3): 3.9
ΔE_f (eV/atom): 1.682
E (eV per atom): -3.5416
Symmetry: No. 123



No. 2
VASP calculation (PBE) on TiHg2Os after structural relaxation.

Lattice parameters (Å, degrees): 4.643 4.643 4.643 60.00 60.00 60.00
Sites, in units of the cell vectors:
Hg: 0.750 0.750 0.750
Hg: 0.250 0.250 0.250
Ti: 0.000 0.000 0.000
Os: 0.500 0.500 0.500

## Properties
Calculated density (g/cm3): 15.0
ΔE_f (eV/atom): 0.478
E (eV per atom): -4.4537
Symmetry: No. 225



No. 3
VASP calculation (PBE) on PmSmCdHg after structural relaxation.

Lattice parameters (Å, degrees): 5.390 5.390 5.390 60.00 60.00 60.00
Site moments in Bohr magnetons follow the coordinates.
Sites, in units of the cell vectors:
Sm: 0.000 0.000 0.000  0.22
Hg: 0.250 0.250 0.250  0.02
Pm: 0.500 0.500 0.500  0.22
Cd: 0.750 0.750 0.750  0.02

## Properties
Calculated density (g/cm3): 9.1
ΔE_f (eV/atom): -0.393
E (eV per atom): -3.0642
Symmetry: No. 216



No. 4
VASP calculation (PBE) on BaRe2 after structural relaxation.

Lattice parameters (Å, degrees): 7.632 7.632 7.632 143.58 143.58 52.45
Sites, in units of the cell vectors:
Re: 0.586 0.586 0.000
Re: 0.164 0.664 0.500
Re: 0.414 0.414 0.000
Re: 0.336 0.836 0.500
Ba: 0.750 0.250 0.500
Ba: 0.000 0.000 0.000

## Properties
Calculated density (g/cm3): 10.9
ΔE_f (eV/atom): 1.021
E (eV per atom): -7.9187
Symmetry: No. 141



No. 5
VASP calculation (PBE) on HfPa2RhN5 after structural relaxation.

Lattice parameters (Å, degrees): 3.343 6.722 10.367 90.00 90.00 104.40
Sites, in units of the cell vectors:
N: 0.277 0.555 0.662
N: 0.682 0.363 0.869
N: 0.723 0.445 0.162
N: 0.366 0.732 0.995
N: 0.949 0.897 0.584
N: 0.514 0.029 0.266
N: 0.051 0.103 0.084
N: 0.634 0.268 0.495
N: 0.318 0.637 0.369
N: 0.486 0.971 0.766
Pa: 0.103 0.207 0.681
Pa: 0.897 0.793 0.181
Pa: 0.856 0.712 0.804
Pa: 0.144 0.288 0.304
Hf: 0.201 0.402 0.010
Hf: 0.799 0.598 0.510
Rh: 0.474 0.948 0.453
Rh: 0.526 0.052 0.953

## Properties
Calculated density (g/cm3): 12.0
E (eV per atom): -9.8812
Energy relative to the elements, uncorrected (meV per atom): -1223
Symmetry: No. 36



No. 6
VASP calculation (PBE) on ScAl5 after structural relaxation.

Lattice parameters (Å, degrees): 5.327 5.327 5.327 60.00 60.00 60.00
Sites, in units of the cell vectors:
Al: 0.375 0.375 0.375
Al: 0.375 0.875 0.375
Al: 0.875 0.375 0.375
Al: 0.375 0.375 0.875
Al: 0.750 0.750 0.750
Sc: 0.000 0.000 0.000

## Properties
Calculated density (g/cm3): 2.8
ΔE_f (eV/atom): -0.164
E (eV per atom): -4.3379
Symmetry: No. 216



No. 7
VASP calculation (PBE) on Zr2NbCuH after structural relaxation.

Lattice parameters (Å, degrees): 4.560 4.560 3.799 90.00 90.00 90.00
Sites, in units of the cell vectors:
Zr: 0.500 0.000 0.000
Zr: 0.000 0.500 0.000
Cu: 0.500 0.500 0.500
H: 0.000 0.000 0.000
Nb: 0.000 0.000 0.500

## Properties
Calculated density (g/cm3): 7.1
E (eV per atom): -7.0074
Symmetry: No. 123



No. 8
VASP calculation (PBE) on Tb3SnS2 after structural relaxation.

Lattice parameters (Å, degrees): 8.808 7.854 7.854 54.32 55.89 55.89
Sites, in units of the cell vectors:
Tb: 0.500 0.500 0.000
Tb: 0.500 0.230 0.770
Tb: 0.500 0.770 0.230
Tb: 0.000 0.730 0.270
Tb: 0.500 0.000 0.500
Tb: 0.000 0.270 0.730
S: 0.263 0.943 0.943
S: 0.648 0.557 0.557
S: 0.352 0.443 0.443
S: 0.737 0.057 0.057
Sn: 0.809 0.750 0.750
Sn: 0.191 0.250 0.250

## Properties
Calculated density (g/cm3): 6.4
E (eV per atom): -5.5366
Energy relative to the elements, uncorrected (meV per atom): -1178
Symmetry: No. 74



Question: Look up the calculated density of the sixth one.
Answer: 2.8 g/cm3



Question: The lowest E belongs to which entry?
Answer: HfPa2RhN5



Question: Which of these has the highest E?
Answer: PmSmCdHg